[1]
AcLaLu | GGA-PBE | optimized geometry

The symmetry is I4mm, No. 107. For the energy of formation, the calculation gives 0.063 eV/atom.

abc: 8.1242 8.1242 8.1242
angles: 152.91 152.91 38.69
Sites, in units of the cell vectors:
Ac 0.0000 0.0000 0.0000
La 0.3221 0.3221 0.0000
Lu 0.6669 0.6669 0.0000



[2]
Pm3Al2Sn6 | GGA-PBE | optimized geometry

The symmetry is I4/mmm, No. 139. For the energy of formation, the calculation gives -0.403 eV/atom.

abc: 15.0729 15.0729 15.0729
angles: 162.64 162.64 24.64
Sites, in units of the cell vectors:
Pm 0.0000 0.0000 0.0000
Pm 0.1622 0.1622 0.0000
Pm 0.8378 0.8378 0.0000
Al 0.3600 0.3600 0.0000
Al 0.6400 0.6400 0.0000
Sn 0.0788 0.5788 0.5000
Sn 0.2701 0.2701 0.0000
Sn 0.4212 0.9212 0.5000
Sn 0.5788 0.0788 0.5000
Sn 0.7299 0.7299 0.0000
Sn 0.9212 0.4212 0.5000



[3]
Zn2SiO | GGA-PBE | optimized geometry

The value obtained for the final energy is -28.36 eV/cell. The symmetry is I-42d, No. 122.

abc: 5.8525 5.8525 5.8525
angles: 124.13 124.13 82.99
Sites, in units of the cell vectors:
Zn 0.0556 0.6250 0.9306
Zn 0.3750 0.3056 0.4306
Zn 0.6944 0.1250 0.0694
Zn 0.8750 0.9444 0.5694
Si 0.2500 0.7500 0.5000
Si 0.5000 0.5000 0.0000
O 0.0000 0.0000 0.0000
O 0.7500 0.2500 0.5000



[4]
Pd2S12Br5 | GGA-PBE | optimized geometry

The value obtained for the final energy is -65.94 eV/cell. The symmetry is C2/m, No. 12.

abc: 7.0540 7.0540 15.1700
angles: 90.64 90.64 61.15
Sites, in units of the cell vectors:
Pd 0.2501 0.7499 0.0000
Pd 0.7499 0.2501 0.0000
S 0.0822 0.5805 0.8110
S 0.0982 0.4991 0.4574
S 0.1494 0.1494 0.2578
S 0.3477 0.3477 0.7408
S 0.4195 0.9178 0.1890
S 0.4991 0.0982 0.4574
S 0.5009 0.9018 0.5426
S 0.5805 0.0822 0.8110
S 0.6523 0.6523 0.2592
S 0.8506 0.8506 0.7422
S 0.9018 0.5009 0.5426
S 0.9178 0.4195 0.1890
Br 0.1050 0.1050 0.9272
Br 0.3949 0.3949 0.0729
Br 0.5000 0.5000 0.5000
Br 0.6051 0.6051 0.9271
Br 0.8950 0.8950 0.0728



[5]
BaRe2P | GGA-PBE | optimized geometry

The symmetry is C2/m, No. 12. For the energy of formation, the calculation gives 0.544 eV/atom.

abc: 5.5292 5.5292 6.0571
angles: 111.18 111.18 33.02
Sites, in units of the cell vectors:
Ba 0.0000 0.0000 0.0000
Re 0.1971 0.1971 0.5945
Re 0.8029 0.8029 0.4055
P 0.5000 0.5000 0.5000



[6]
LiAcCe | GGA-PBE | optimized geometry

The symmetry is P3m1, No. 156. For the energy of formation, the calculation gives 0.237 eV/atom.

abc: 3.6747 3.6747 8.6140
angles: 90.00 90.00 120.00
Sites, in units of the cell vectors:
Li 0.0000 0.0000 0.0000
Ac 0.6667 0.3333 0.3346
Ce 0.3333 0.6667 0.6846



[7]
Sm2P4Pd3 | GGA-PBE | optimized geometry

The symmetry is Cmce, No. 64. For the energy of formation, the calculation gives -0.854 eV/atom.

abc: 8.1026 8.1026 7.3408
angles: 90.00 90.00 138.95
Sites, in units of the cell vectors:
Sm 0.1134 0.8866 0.9158
Sm 0.3866 0.6134 0.4158
Sm 0.6134 0.3866 0.5842
Sm 0.8866 0.1134 0.0842
P 0.1929 0.8071 0.5455
P 0.2019 0.2981 0.7500
P 0.2981 0.2019 0.2500
P 0.3071 0.6929 0.0455
P 0.6929 0.3071 0.9545
P 0.7019 0.7981 0.7500
P 0.7981 0.7019 0.2500
P 0.8071 0.1929 0.4545
Pd 0.0000 0.0000 0.5000
Pd 0.0385 0.4615 0.7500
Pd 0.4615 0.0385 0.2500
Pd 0.5000 0.5000 0.0000
Pd 0.5385 0.9615 0.7500
Pd 0.9615 0.5385 0.2500



[8]
Dy6Y3Tm2Sc | GGA-PBE | optimized geometry

The symmetry is C2/m, No. 12. For the energy of formation, the calculation gives 0.031 eV/atom.

abc: 6.0950 6.0950 11.6404
angles: 95.00 95.00 119.94
Sites, in units of the cell vectors:
Dy 0.0814 0.4128 0.2452
Dy 0.2499 0.2499 0.7546
Dy 0.4128 0.0814 0.2452
Dy 0.5872 0.9186 0.7548
Dy 0.7501 0.7501 0.2454
Dy 0.9186 0.5872 0.7548
Y 0.1666 0.8334 0.5000
Y 0.5000 0.5000 0.5000
Y 0.8334 0.1666 0.5000
Tm 0.3334 0.6666 0.0000
Tm 0.6666 0.3334 0.0000
Sc 0.0000 0.0000 0.0000